(1)
# La2GaCuH | the Alexandria database | GGA-PBE | optimized geometry
data_La2GaCuH
_space_group_name_H-M_alt 'P 4/m m m'
_space_group_IT_number 123
_space_group_name_Hall '-P 4 2'
_cell_length_a 5.178
_cell_length_b 5.178
_cell_length_c 3.871
_cell_angle_alpha 90.00
_cell_angle_beta 90.00
_cell_angle_gamma 90.00
loop_
_atom_site_label
_atom_site_type_symbol
_atom_site_fract_x
_atom_site_fract_y
_atom_site_fract_z
La1 La 0.000 0.500 0.000
Ga1 Ga 0.000 0.000 0.500
Cu1 Cu 0.500 0.500 0.500
H1 H 0.500 0.500 0.000
# Distance to the lowest polymorph of the same formula   0.028 eV/atom
# Theoretical density   6.59 Mg/m³


(2)
# La2GaCuH | the Alexandria database | GGA-PBE | optimized geometry
data_La2GaCuH
_space_group_name_H-M_alt 'P 1 21/m 1'
_space_group_IT_number 11
_cell_length_a 6.521
_cell_length_b 4.346
_cell_length_c 7.803
_cell_angle_alpha 90.00
_cell_angle_beta 104.70
_cell_angle_gamma 90.00
loop_
_space_group_symop_operation_xyz
'x,y,z'
'-x,-y,-z'
'-x,y+1/2,-z'
'x,-y+1/2,z'
loop_
_atom_site_label
_atom_site_type_symbol
_atom_site_fract_x
_atom_site_fract_y
_atom_site_fract_z
La1 La 0.189 0.250 0.406
La2 La 0.236 0.250 0.958
Ga1 Ga 0.355 0.750 0.704
Cu1 Cu 0.434 0.750 0.258
H1 H 0.164 0.750 0.179
# Distance to the lowest polymorph of the same formula   0.000 eV/atom
# Theoretical density   6.40 Mg/m³


(3)
# LiGaCu2H | the Alexandria database | GGA-PBE | optimized geometry
data_LiGaCu2H
_space_group_name_H-M_alt 'P 4/m m m'
_space_group_IT_number 123
_space_group_name_Hall '-P 4 2'
_cell_length_a 3.813
_cell_length_b 3.813
_cell_length_c 3.700
_cell_angle_alpha 90.00
_cell_angle_beta 90.00
_cell_angle_gamma 90.00
loop_
_atom_site_label
_atom_site_type_symbol
_atom_site_fract_x
_atom_site_fract_y
_atom_site_fract_z
Li1 Li 0.000 0.000 0.000
Ga1 Ga 0.500 0.500 0.000
Cu1 Cu 0.000 0.500 0.500
H1 H 0.000 0.000 0.500
# Total DFT energy (no corrections)   -3.38 eV/atom
# Theoretical density   6.32 Mg/m³


(4)
# MgGaCu2H | the Alexandria database | GGA-PBE | optimized geometry
data_MgGaCu2H
_space_group_name_H-M_alt 'P 4/m m m'
_space_group_IT_number 123
_space_group_name_Hall '-P 4 2'
_cell_length_a 3.890
_cell_length_b 3.890
_cell_length_c 4.060
_cell_angle_alpha 90.00
_cell_angle_beta 90.00
_cell_angle_gamma 90.00
loop_
_atom_site_label
_atom_site_type_symbol
_atom_site_fract_x
_atom_site_fract_y
_atom_site_fract_z
Mg1 Mg 0.000 0.000 0.000
Ga1 Ga 0.500 0.500 0.000
Cu1 Cu 0.000 0.500 0.500
H1 H 0.000 0.000 0.500
# Total DFT energy (no corrections)   -3.18 eV/atom
# Theoretical density   6.00 Mg/m³


- Which formula does entry 1 have?
  La2GaCuH


- theoretical density of number 3 (LiGaCu2H)?
  6.32 Mg/m³


- What is the formula in the third record?
  LiGaCu2H